Material: PmNd3Sb3
Method: DFT, PBE
State: optimized geometry

Lattice parameters (Å, degrees): 9.5001 9.5001 9.5001 90.00 90.00 90.00
Last column: nearest neighbours and their distance in Å.
Space group P2_13 (No. 198)
Unique sites:
1 Pm 0.0706 0.4294 0.5706  6 Sb 3.15-3.42
2 Nd 0.0697 0.5697 0.9303  6 Sb 3.17-3.42
3 Nd 0.1792 0.1792 0.1792  6 Sb 3.16-3.43
4 Nd 0.1795 0.8205 0.3205  6 Sb 3.16-3.43
5 Sb 0.9997 0.2488 0.8742  2 Pm 3.15-3.42, 6 Nd 3.16-3.43

Properties
**Electronic total energy**: -155.438 eV/cell
**Formation energy (no corrections)**: -1063 meV per atom
**Spin magnetization**: 0.00 μB per cell